No. 1
Density functional theory data (PBE) for a geometry-optimized K2NpAg2I6 structure.

Properties
Its formation energy (no corrections) is -0.75 eV per atom.

abc: 8.4811 8.4811 8.7589
angles: 114.24 114.24 63.47
Fractional positions:
K (0.2304, 0.2304, 0.1635)
K (0.7696, 0.7696, 0.8365)
Np (0.0000, 0.0000, 0.5000)
Ag (0.4513, 0.4513, 0.8181)
Ag (0.5487, 0.5487, 0.1819)
I (0.1710, 0.6909, 0.1976)
I (0.2339, 0.2339, 0.5656)
I (0.3091, 0.8290, 0.8024)
I (0.6909, 0.1710, 0.1976)
I (0.7661, 0.7661, 0.4344)
I (0.8290, 0.3091, 0.8024)

***

No. 2
Density functional theory data (PBE) for a geometry-optimized Cu2TcIr structure.

Properties
The formation energy is 0.2079 eV per atom. The energy relative to the lowest polymorph listed for this composition comes out at 67 kJ/mol of formula units.

abc: 2.6750 2.6750 26.1851
angles: 90.00 90.00 120.00
Fractional positions:
Cu (0.0000, 0.0000, 0.2505)
Cu (0.0000, 0.0000, 0.7495)
Cu (0.3333, 0.6667, 0.4162)
Cu (0.3333, 0.6667, 0.9171)
Cu (0.6667, 0.3333, 0.0829)
Cu (0.6667, 0.3333, 0.5838)
Tc (0.0000, 0.0000, 0.0000)
Tc (0.3333, 0.6667, 0.6667)
Tc (0.6667, 0.3333, 0.3333)
Ir (0.0000, 0.0000, 0.5000)
Ir (0.3333, 0.6667, 0.1667)
Ir (0.6667, 0.3333, 0.8333)

***

No. 3
Density functional theory data (PBE) for a geometry-optimized Pr3Y4Tm4 structure.

Properties
The formation energy is 0.1614 eV per atom. The energy relative to the lowest polymorph listed for this composition comes out at 145 kJ/mol of formula units.

abc: 10.6160 6.6808 6.6808
angles: 50.72 90.00 90.00
Fractional positions:
Pr (0.0000, 0.0000, 0.0000)
Pr (0.2884, 0.1549, 0.1549)
Pr (0.7116, 0.1549, 0.1549)
Y (0.0000, 0.7049, 0.7049)
Y (0.2129, 0.4935, 0.4935)
Y (0.5000, 0.6321, 0.6321)
Y (0.7871, 0.4935, 0.4935)
Tm (0.0000, 0.2998, 0.2998)
Tm (0.3012, 0.8507, 0.8507)
Tm (0.5000, 0.3588, 0.3588)
Tm (0.6988, 0.8507, 0.8507)

***

No. 4
Density functional theory data (PBE) for a geometry-optimized CsSb2Br6 structure.

Properties
Its formation energy (no corrections) is -0.80 eV per atom. The energy relative to the lowest polymorph listed for this composition comes out at 0 kJ/mol of formula units.

abc: 7.4882 7.4882 11.0514
angles: 114.82 114.82 47.95
Fractional positions:
Cs (0.0000, 0.0000, 0.0000)
Sb (0.1797, 0.1797, 0.5816)
Sb (0.8203, 0.8203, 0.4184)
Br (0.0323, 0.0323, 0.6881)
Br (0.3126, 0.3126, 0.4328)
Br (0.3474, 0.3474, 0.8334)
Br (0.6526, 0.6526, 0.1666)
Br (0.6874, 0.6874, 0.5672)
Br (0.9677, 0.9677, 0.3119)

***

Number 1: energy -3.492 eV/atom. Number 2: energy -6.647 eV/atom. Number 3: energy -5.119 eV/atom. Number 4: energy -2.927 eV/atom.